A plane-wave DFT calculation with GGA-PBE was carried out for a geometry-optimized LiPmPd structure.

The space group is Pmma (No. 51) and the conventional cell measures 4.6408, 3.6354 and 8.4848 Å, with angles of 90.00, 90.00 and 90.00 degrees. The distinct sites, in fractional coordinates, are Li at (0.2500, 0.0000, 0.0886), Pm at (0.2500, 0.5000, 0.6824) and Pd at (0.2500, 0.0000, 0.3961).

The calculation puts the energy at -4.419 eV/atom. Its formation enthalpy at 0 K is -0.466 eV/atom.